The following is a PBE calculation of crystalline LaPmCuSi at its relaxed geometry, from Alexandria.

The calculation puts the uncorrected formation energy at -0.376 eV/atom. As for the symmetry: No. 216.

```
data_LaPmCuSi
_symmetry_space_group_name_H-M 'P 1'
_symmetry_Int_Tables_number 1
_symmetry_space_group_name_Hall 'P 1'
_cell_length_a 5.144
_cell_length_b 5.144
_cell_length_c 5.144
_cell_angle_alpha 60.00
_cell_angle_beta 60.00
_cell_angle_gamma 60.00
loop_
_atom_site_label
_atom_site_type_symbol
_atom_site_fract_x
_atom_site_fract_y
_atom_site_fract_z
Si1 Si 0.750 0.750 0.750
La1 La 0.500 0.500 0.500
Cu1 Cu 0.250 0.250 0.250
Pm1 Pm 0.000 0.000 0.000
```

The following is a PBE calculation of crystalline Rb3VGa at its relaxed geometry, from Alexandria.

As for the symmetry: No. 221. Its distance to the lowest polymorph of the same formula is 0 meV/atom. The calculation puts the calculated formation energy at 1.021 eV per atom.

```
data_Rb3VGa
_symmetry_space_group_name_H-M 'P 1'
_symmetry_Int_Tables_number 1
_symmetry_space_group_name_Hall 'P 1'
_cell_length_a 6.740
_cell_length_b 6.740
_cell_length_c 6.740
_cell_angle_alpha 90.00
_cell_angle_beta 90.00
_cell_angle_gamma 90.00
loop_
_atom_site_label
_atom_site_type_symbol
_atom_site_fract_x
_atom_site_fract_y
_atom_site_fract_z
Rb1 Rb 0.000 0.500 0.000
Rb2 Rb 0.000 0.000 0.500
Rb3 Rb 0.500 0.000 0.000
Ga1 Ga 0.000 0.000 0.000
V1 V 0.500 0.500 0.500
```

| no. | calculated volume (Å³ per atom) |
| --- | --- |
| 1 | 24.07 |
| 2 | 61.23 |